The following is a GGA-PBE calculation of a geometry-optimized InCuPt3 structure, from Alexandria.

a b c (Å): 4.6037 4.6037 4.6037
angles (deg): 90.00 90.00 90.00
Fractional positions:
In  0.5000  0.5000  0.5000
Cu  0.0000  0.0000  0.0000
Pt  0.0000  0.0000  0.5000
Pt  0.5000  0.0000  0.0000
Pt  0.0000  0.5000  0.0000

Results
Theoretical density, g/cm³: 13.00
Energy relative to the elements, eV per atom: 0.571
N(E_F), states/eV/atom: 0.61
Space-group type: Pm-3m (221)
M_tot, μB per formula unit: 0.00

The following is a GGA-PBE calculation of a geometry-optimized Tb3PmNd4 structure, from Alexandria.

a b c (Å): 7.2605 7.2581 10.2849
angles (deg): 90.00 90.00 90.00
Fractional positions:
Nd  0.0000  0.3108  0.5000
Tb  0.7513  0.5606  0.7501
Nd  0.5002  0.3104  0.0000
Pm  0.5002  0.8107  0.0000
Nd  0.4998  0.8104  0.5000
Pm  0.4998  0.3107  0.5000
Nd  0.7511  0.0606  0.7498
Tb  0.2487  0.0606  0.7499
Tb  0.2487  0.0606  0.2501
Tb  0.7513  0.5606  0.2499
Nd  0.7511  0.0606  0.2502
Tb  0.0000  0.8104  0.5000
Tb  0.0000  0.3104  0.0000
Nd  0.2489  0.5606  0.7502
Nd  0.2489  0.5606  0.2498
Nd  0.0000  0.8108  0.0000

Results
Theoretical density, g/cm³: 7.35
Energy relative to the elements, eV per atom: 0.015
N(E_F), states/eV/atom: 1.51
Space-group type: Pmna (53)
M_tot, μB per formula unit: 0.00

The following is a GGA-PBE calculation of a geometry-optimized ZrAg3Br7 structure, from Alexandria.

a b c (Å): 8.4482 8.4482 7.9022
angles (deg): 65.53 65.53 56.72
Fractional positions:
Zr  0.9924  0.9924  0.0313
Br  0.3570  0.9102  0.8217
Br  0.1081  0.6351  0.2508
Br  0.0976  0.0976  0.2574
Br  0.9009  0.9009  0.8200
Br  0.6351  0.1081  0.2508
Br  0.4037  0.4037  0.6953
Ag  0.1996  0.7362  0.4850
Ag  0.7362  0.1996  0.4850
Ag  0.5344  0.5344  0.8311
Br  0.9102  0.3570  0.8217

Results
Theoretical density, g/cm³: 3.89
N(E_F), states/eV/atom: 0.00
Space-group type: Cm (8)
E_form (uncorrected), meV/atom: -777
M_tot, μB per formula unit: 0.00

The following is a GGA-PBE calculation of a geometry-optimized Be2AgAu3 structure, from Alexandria.

a b c (Å): 2.8690 6.4670 6.4673
angles (deg): 126.98 90.00 90.00
Fractional positions:
Au  0.5000  0.6473  0.6473
Ag  0.0000  0.1045  0.1045
Au  0.5000  0.3839  0.9430
Au  0.5000  0.9431  0.3839
Be  0.0000  0.3250  0.6039
Be  0.0000  0.6039  0.3249

Results
Theoretical density, g/cm³: 12.42
Energy relative to the elements, eV per atom: -0.029
N(E_F), states/eV/atom: 0.30
Space-group type: Amm2 (38)
M_tot, μB per formula unit: 0.00

Volume, respectively: 19.51 33.87 37.82 15.98 A^3/atom.
E, respectively: -4.420 -4.699 -3.396 -3.385 eV/atom.